CeDy4Tm5: relaxed, PBE.

Cell: 3.6386 8.1778 10.7660 Å, 97.03 99.73 90.00°
With the nearest neighbours (Å) after each atom.
Element x y z (fractional)
Dy1 0.6853 0.0527 0.3706  5 Tm 3.42-3.53, 6 Dy 3.45-3.64
Dy2 0.1123 0.3338 0.2247  6 Tm 3.41-3.65, 4 Dy 3.45-3.64
Ce1 0.5000 0.0000 0.0000  4 Tm 3.53, 2 Ce 3.64, 6 Dy 3.85-3.90
Dy3 0.3147 0.9473 0.6294  5 Tm 3.42-3.53, 6 Dy 3.45-3.64
Tm1 0.2819 0.3576 0.5638  6 Tm 3.37-3.64, 6 Dy 3.51-3.65
Tm2 0.0957 0.7557 0.1914  6 Tm 3.28-3.64, 3 Dy 3.42-3.51, 2 Ce 3.53
Tm3 0.9043 0.2443 0.8086  6 Tm 3.28-3.64, 3 Dy 3.42-3.51, 2 Ce 3.53
Tm4 0.7181 0.6424 0.4362  6 Tm 3.37-3.64, 6 Dy 3.51-3.65
Tm5 0.5000 0.5000 0.0000  6 Tm 3.28-3.64, 4 Dy 3.41
Dy4 0.8877 0.6662 0.7753  6 Tm 3.41-3.65, 4 Dy 3.45-3.64

## Properties
Offset from the most stable computed form, meV per atom: 0
SG: C2/m (12)
Formation energy, eV per atom: 0.09
Calculated volume, Å³/f.u.: 313.3